Record 1
DFT (PBE) results for crystalline YScBr2 at its relaxed geometry.

```
YScBr2
1.0
-0.2399 -5.5476 2.1110
4.1648 -2.9723 -3.0182
-1.0859 4.2900 3.9631
Br Sc Y
2 1 1
Direct
0.9890 0.9890 0.0000 Br
0.5110 0.5110 0.0000 Br
0.7500 0.2500 0.5000 Sc
0.2500 0.7500 0.5000 Y
```

Output
Energy relative to the lowest polymorph listed for this composition in meV per atom: 352.2
Raw formation energy in eV/atom: -0.813
Magnetization in μB/f.u.: 0.00



Record 2
DFT (PBE) results for crystalline YScBr2 at its relaxed geometry.

```
YScBr2
1.0
3.6356 -0.0008 0.0000
-1.9735 3.0534 0.0000
0.0000 0.0000 9.4128
Br Sc Y
2 1 1
Direct
0.0000 0.0000 0.0115 Br
0.0000 0.0000 0.4885 Br
0.5000 0.5000 0.2500 Sc
0.5000 0.5000 0.7500 Y
```

Output
Energy relative to the lowest polymorph listed for this composition in meV per atom: 363.2
Raw formation energy in eV/atom: -0.802
Magnetization in μB/f.u.: 0.00



Record 3
DFT (PBE) results for crystalline YSc2Br at its relaxed geometry.

```
YSc2Br
1.0
-7.1471 -3.2611 -5.9135
-4.4972 -3.0494 -8.1952
-4.8576 -5.8983 -6.1886
Br Sc Y
1 2 1
Direct
0.7500 0.7500 0.7500 Br
0.0086 0.0086 0.0086 Sc
0.4914 0.4914 0.4914 Sc
0.2500 0.2500 0.2500 Y
```

Output
Energy relative to the lowest polymorph listed for this composition in meV per atom: 0.0
Raw formation energy in eV/atom: -0.432
Magnetization in μB/f.u.: 0.29



Record 4
DFT (PBE) results for crystalline Y2ScBr at its relaxed geometry.

```
Y2ScBr
1.0
6.0218 -0.0017 0.0000
2.2824 5.5725 0.0000
-4.1521 -2.7854 3.3562
Br Sc Y
1 1 2
Direct
0.2500 0.7500 0.5000 Br
0.7500 0.2500 0.5000 Sc
0.0000 0.0000 0.0000 Y
0.5000 0.5000 0.0000 Y
```

Output
Energy relative to the lowest polymorph listed for this composition in meV per atom: 491.8
Raw formation energy in eV/atom: -0.003
Magnetization in μB/f.u.: 0.95



Record 5
DFT (PBE) results for crystalline Y3ScBr at its relaxed geometry.

```
Y3ScBr
1.0
5.6483 0.0000 0.0000
0.0000 5.6483 0.0000
0.0000 0.0000 5.6483
Y Sc Br
3 1 1
Direct
0.0000 0.5000 0.0000 Y
0.0000 0.0000 0.5000 Y
0.5000 0.0000 0.0000 Y
0.0000 0.0000 0.0000 Sc
0.5000 0.5000 0.5000 Br
```

Output
Energy relative to the lowest polymorph listed for this composition in meV per atom: 658.2
Raw formation energy in eV/atom: 0.532
Magnetization in μB/f.u.: 0.00



Record 6
DFT (PBE) results for crystalline Y2ScBr at its relaxed geometry.

```
Y2ScBr
1.0
8.5994 0.0000 0.0000
0.0000 8.5994 0.0000
4.2997 4.2997 3.1554
Y Sc Br
4 2 2
Direct
0.6851 0.1250 0.2500 Y
0.0649 0.6250 0.2500 Y
0.3750 0.3149 0.7500 Y
0.8750 0.9351 0.7500 Y
0.5000 0.5000 0.0000 Sc
0.2500 0.7500 0.5000 Sc
0.0000 0.0000 0.0000 Br
0.7500 0.2500 0.5000 Br
```

Output
Energy relative to the lowest polymorph listed for this composition in meV per atom: 355.9
Raw formation energy in eV/atom: -0.139
Magnetization in μB/f.u.: 0.00



Record 7
DFT (PBE) results for crystalline YSc2Br at its relaxed geometry.

```
YSc2Br
1.0
-1.2524 2.8706 -1.3013
-1.9904 0.3654 2.7216
6.5106 4.7121 4.1287
Br Sc Y
1 2 1
Direct
0.5000 0.5000 0.7500 Br
0.0000 0.0000 0.9869 Sc
0.0000 0.0000 0.5131 Sc
0.5000 0.5000 0.2500 Y
```

Output
Energy relative to the lowest polymorph listed for this composition in meV per atom: 125.2
Raw formation energy in eV/atom: -0.306
Magnetization in μB/f.u.: 0.48



Record 8
DFT (PBE) results for crystalline YScBr at its relaxed geometry.

```
YScBr
1.0
-1.8185 0.0776 3.1314
-0.0027 -3.0052 -2.0218
5.6629 -2.2552 3.3446
Br Sc Y
1 1 1
Direct
0.0000 0.0000 0.0094 Br
0.3333 0.6667 0.3155 Sc
0.6667 0.3333 0.6751 Y
```

Output
Energy relative to the lowest polymorph listed for this composition in meV per atom: 0.0
Raw formation energy in eV/atom: -0.689
Magnetization in μB/f.u.: 0.01



Record 9
DFT (PBE) results for crystalline Y2ScBr at its relaxed geometry.

```
Y2ScBr
1.0
6.4709 0.0571 0.1200
5.4994 3.4106 0.1200
2.5970 0.7523 5.2791
Br Sc Y
1 1 2
Direct
0.7500 0.7500 0.7500 Br
0.2500 0.2500 0.2500 Sc
0.0272 0.0272 0.9731 Y
0.4728 0.4728 0.5269 Y
```

Output
Energy relative to the lowest polymorph listed for this composition in meV per atom: 254.8
Raw formation energy in eV/atom: -0.240
Magnetization in μB/f.u.: 0.00



Record 10
DFT (PBE) results for crystalline YSc2Br at its relaxed geometry.

```
YSc2Br
1.0
8.4100 0.0000 0.0000
0.0000 8.4100 0.0000
4.2050 4.2050 2.9793
Y Sc Br
2 4 2
Direct
0.0000 0.0000 0.0000 Y
0.7500 0.2500 0.5000 Y
0.5532 0.1250 0.2500 Sc
0.1968 0.6250 0.2500 Sc
0.3750 0.4468 0.7500 Sc
0.8750 0.8032 0.7500 Sc
0.5000 0.5000 0.0000 Br
0.2500 0.7500 0.5000 Br
```

Output
Energy relative to the lowest polymorph listed for this composition in meV per atom: 239.9
Raw formation energy in eV/atom: -0.192
Magnetization in μB/f.u.: 0.00



Record 11
DFT (PBE) results for crystalline YSc2Br at its relaxed geometry.

```
YSc2Br
1.0
5.9126 0.0000 0.0000
0.0000 4.2070 0.0000
0.0000 0.0000 4.2070
Br Sc Y
1 2 1
Direct
0.5000 0.0000 0.5000 Br
0.0000 0.0000 0.0000 Sc
0.0000 0.5000 0.5000 Sc
0.5000 0.5000 0.0000 Y
```

Output
Energy relative to the lowest polymorph listed for this composition in meV per atom: 423.3
Raw formation energy in eV/atom: -0.008
Magnetization in μB/f.u.: 0.00



Record 12
DFT (PBE) results for crystalline YSc2Br at its relaxed geometry.

```
YSc2Br
1.0
5.8353 -0.0007 0.0000
-2.6740 5.1865 0.0000
0.0000 0.0000 3.4629
Br Sc Y
1 2 1
Direct
0.0000 0.5000 0.5000 Br
0.0000 0.0000 0.0000 Sc
0.5000 0.5000 0.0000 Sc
0.5000 0.0000 0.5000 Y
```

Output
Energy relative to the lowest polymorph listed for this composition in meV per atom: 336.9
Raw formation energy in eV/atom: -0.095
Magnetization in μB/f.u.: 1.08



Record 13
DFT (PBE) results for crystalline YSc2Br at its relaxed geometry.

```
YSc2Br
1.0
-4.2795 4.3487 -1.6009
-2.5882 -0.5744 -5.7236
0.9158 -2.3798 5.7694
Br Sc Y
1 2 1
Direct
0.2379 0.7379 0.5000 Br
0.0250 0.0250 0.0000 Sc
0.7613 0.2613 0.5000 Sc
0.4758 0.4758 0.0000 Y
```

Output
Energy relative to the lowest polymorph listed for this composition in meV per atom: 208.3
Raw formation energy in eV/atom: -0.223
Magnetization in μB/f.u.: 0.00



Record 14
DFT (PBE) results for crystalline YSc2Br at its relaxed geometry.

```
YSc2Br
1.0
-4.1572 1.2959 -2.5689
-1.9086 -0.0690 3.0540
0.2716 5.4456 2.3077
Br Sc Y
1 2 1
Direct
0.5000 0.7500 0.7500 Br
0.0000 0.8660 0.9859 Sc
0.0000 0.6340 0.5141 Sc
0.5000 0.2500 0.2500 Y
```

Output
Energy relative to the lowest polymorph listed for this composition in meV per atom: 209.0
Raw formation energy in eV/atom: -0.223
Magnetization in μB/f.u.: 0.00



Record 15
DFT (PBE) results for crystalline Y2ScBr at its relaxed geometry.

```
Y2ScBr
1.0
5.6855 0.0463 0.0258
-0.4174 5.6704 0.0258
-0.0127 -0.0138 3.4387
Br Sc Y
1 1 2
Direct
0.5000 0.0000 0.5000 Br
0.0000 0.5000 0.5000 Sc
0.0000 0.0000 0.0000 Y
0.5000 0.5000 0.0000 Y
```

Output
Energy relative to the lowest polymorph listed for this composition in meV per atom: 259.3
Raw formation energy in eV/atom: -0.235
Magnetization in μB/f.u.: 0.00



Record 16
DFT (PBE) results for crystalline Y2ScBr at its relaxed geometry.

```
Y2ScBr
1.0
10.1485 0.0013 0.0008
9.5082 3.5477 0.0008
9.5082 1.7167 3.1047
Br Sc Y
1 1 2
Direct
0.2500 0.2500 0.2500 Br
0.7500 0.7500 0.7500 Sc
0.9952 0.9952 0.9952 Y
0.5048 0.5048 0.5048 Y
```

Output
Energy relative to the lowest polymorph listed for this composition in meV per atom: 0.0
Raw formation energy in eV/atom: -0.494
Magnetization in μB/f.u.: 0.00



Record 17
DFT (PBE) results for crystalline YSc2Br at its relaxed geometry.

```
YSc2Br
1.0
-2.4421 -0.9918 2.2194
3.2305 0.0838 3.5921
0.2589 5.8222 2.8866
Br Sc Y
1 2 1
Direct
0.5000 0.9789 0.6670 Br
0.0000 0.7894 0.0463 Sc
0.5000 0.2079 0.2093 Sc
0.0000 0.5237 0.5774 Y
```

Output
Energy relative to the lowest polymorph listed for this composition in meV per atom: 109.5
Raw formation energy in eV/atom: -0.322
Magnetization in μB/f.u.: 0.00



Record 18
DFT (PBE) results for crystalline YSc2Br at its relaxed geometry.

```
YSc2Br
1.0
5.5157 0.0000 0.0000
0.0000 5.5157 0.0000
0.0000 0.0000 3.4315
Br Sc Y
1 2 1
Direct
0.0000 0.5000 0.5000 Br
0.0000 0.0000 0.0000 Sc
0.5000 0.5000 0.0000 Sc
0.5000 0.0000 0.5000 Y
```

Output
Energy relative to the lowest polymorph listed for this composition in meV per atom: 368.7
Raw formation energy in eV/atom: -0.063
Magnetization in μB/f.u.: 0.00



Record 19
DFT (PBE) results for crystalline Y2ScBr at its relaxed geometry.

```
Y2ScBr
1.0
3.5625 0.0000 0.0000
0.0000 3.6078 -0.0324
0.0000 0.0949 9.3048
Br Sc Y
1 1 2
Direct
0.5000 0.2500 0.2500 Br
0.5000 0.7500 0.7500 Sc
0.0000 0.2491 0.9881 Y
0.0000 0.2509 0.5119 Y
```

Output
Energy relative to the lowest polymorph listed for this composition in meV per atom: 48.5
Raw formation energy in eV/atom: -0.446
Magnetization in μB/f.u.: 0.00



Record 20
DFT (PBE) results for crystalline Y2ScBr at its relaxed geometry.

```
Y2ScBr
1.0
10.1489 -0.0049 -0.0029
9.5166 3.5261 -0.0029
9.5166 1.7040 3.0870
Br Sc Y
1 1 2
Direct
0.4964 0.4964 0.4964 Br
0.7582 0.7582 0.7582 Sc
0.0037 0.0037 0.0037 Y
0.2417 0.2417 0.2417 Y
```

Output
Energy relative to the lowest polymorph listed for this composition in meV per atom: 22.2
Raw formation energy in eV/atom: -0.472
Magnetization in μB/f.u.: 0.13



Record 21
DFT (PBE) results for crystalline YSc2Br at its relaxed geometry.

```
YSc2Br
1.0
2.0470 0.0000 10.5661
-1.0235 1.7727 10.5661
-1.0235 -1.7727 10.5661
Y Sc Br
1 2 1
Direct
0.5000 0.5000 0.5000 Y
0.9175 0.9175 0.9175 Sc
0.0825 0.0825 0.0825 Sc
0.0000 0.0000 0.0000 Br
```

Output
Energy relative to the lowest polymorph listed for this composition in meV per atom: 154.8
Raw formation energy in eV/atom: -0.277
Magnetization in μB/f.u.: 0.00



Record 22
DFT (PBE) results for crystalline YScBr at its relaxed geometry.

```
YScBr
1.0
7.0674 -0.0062 0.0000
5.3864 4.5754 0.0000
-6.2269 -2.2846 2.4402
Br Sc Y
1 1 1
Direct
0.9951 0.9951 0.0000 Br
0.3371 0.3371 0.0000 Sc
0.6679 0.6679 0.0000 Y
```

Output
Energy relative to the lowest polymorph listed for this composition in meV per atom: 168.8
Raw formation energy in eV/atom: -0.521
Magnetization in μB/f.u.: 0.00



Record 23
DFT (PBE) results for crystalline Y2ScBr2 at its relaxed geometry.

```
Y2ScBr2
1.0
8.9476 0.0000 0.0000
0.0000 8.9476 0.0000
0.0000 0.0000 3.3935
Y Sc Br
4 2 4
Direct
0.3328 0.8328 0.0000 Y
0.8328 0.6672 0.0000 Y
0.6672 0.1672 0.0000 Y
0.1672 0.3328 0.0000 Y
0.0000 0.0000 0.0000 Sc
0.5000 0.5000 0.0000 Sc
0.1282 0.6282 0.5000 Br
0.6282 0.8718 0.5000 Br
0.8718 0.3718 0.5000 Br
0.3718 0.1282 0.5000 Br
```

Output
Energy relative to the lowest polymorph listed for this composition in meV per atom: 204.8
Raw formation energy in eV/atom: -0.283
Magnetization in μB/f.u.: 2.03



Record 24
DFT (PBE) results for crystalline YSc2Br at its relaxed geometry.

```
YSc2Br
1.0
6.3222 0.0250 0.0564
5.4239 3.2486 0.0564
2.3960 0.6678 4.9803
Br Sc Y
1 2 1
Direct
0.2500 0.2500 0.2500 Br
0.9732 0.9732 0.0266 Sc
0.5268 0.5268 0.4734 Sc
0.7500 0.7500 0.7500 Y
```

Output
Energy relative to the lowest polymorph listed for this composition in meV per atom: 150.6
Raw formation energy in eV/atom: -0.281
Magnetization in μB/f.u.: 0.00



Record 25
DFT (PBE) results for crystalline Y2ScBr at its relaxed geometry.

```
Y2ScBr
1.0
-1.4137 -1.0023 -3.0008
2.3291 -2.5541 -0.2441
-5.7464 -5.6803 4.6045
Br Sc Y
1 1 2
Direct
0.0000 0.0000 0.5043 Br
0.5000 0.5000 0.7417 Sc
0.0000 0.0000 0.9879 Y
0.5000 0.5000 0.2660 Y
```

Output
Energy relative to the lowest polymorph listed for this composition in meV per atom: 133.3
Raw formation energy in eV/atom: -0.361
Magnetization in μB/f.u.: 0.00



Record 26
DFT (PBE) results for crystalline Y2ScBr2 at its relaxed geometry.

```
Y2ScBr2
1.0
4.5468 0.0000 0.0000
0.0000 4.5468 0.0000
2.2734 2.2734 7.4031
Y Sc Br
2 1 2
Direct
0.3826 0.3826 0.2348 Y
0.6174 0.6174 0.7652 Y
0.0000 0.0000 0.0000 Sc
0.7500 0.2500 0.5000 Br
0.2500 0.7500 0.5000 Br
```

Output
Energy relative to the lowest polymorph listed for this composition in meV per atom: 0.0
Raw formation energy in eV/atom: -0.488
Magnetization in μB/f.u.: 0.00



Record 27
DFT (PBE) results for crystalline YScBr2 at its relaxed geometry.

```
YScBr2
1.0
-3.5663 -0.5418 -6.1474
-0.1069 -4.9043 -5.1711
-0.2531 1.3640 6.9913
Br Sc Y
2 1 1
Direct
0.0000 0.0000 0.0000 Br
0.2500 0.7500 0.5000 Br
0.5000 0.5000 0.0000 Sc
0.7500 0.2500 0.5000 Y
```

Output
Energy relative to the lowest polymorph listed for this composition in meV per atom: 557.2
Raw formation energy in eV/atom: -0.608
Magnetization in μB/f.u.: 0.00



Record 28
DFT (PBE) results for crystalline YScBr at its relaxed geometry.

```
YScBr
1.0
-7.1529 2.6918 0.9804
-6.0102 1.4658 4.0372
0.0950 3.4784 -0.2109
Br Sc Y
1 1 1
Direct
0.9948 0.9948 0.0052 Br
0.3399 0.3399 0.6601 Sc
0.6653 0.6653 0.3347 Y
```

Output
Energy relative to the lowest polymorph listed for this composition in meV per atom: 145.6
Raw formation energy in eV/atom: -0.544
Magnetization in μB/f.u.: 0.42



Record 29
DFT (PBE) results for crystalline YScBr2 at its relaxed geometry.

```
YScBr2
1.0
-1.1366 -5.2037 1.0011
2.0568 -2.4274 4.3874
-3.2422 -1.3180 4.1380
Br Sc Y
2 1 1
Direct
0.0000 0.0000 0.0000 Br
0.2500 0.2500 0.2500 Br
0.5000 0.5000 0.5000 Sc
0.7500 0.7500 0.7500 Y
```

Output
Energy relative to the lowest polymorph listed for this composition in meV per atom: 951.3
Raw formation energy in eV/atom: -0.214
Magnetization in μB/f.u.: 3.87



Record 30
DFT (PBE) results for crystalline Y2ScBr at its relaxed geometry.

```
Y2ScBr
1.0
5.4237 0.0000 0.0000
2.7119 4.6971 0.0000
2.7119 1.5657 4.4285
Br Sc Y
1 1 2
Direct
0.5000 0.5000 0.5000 Br
0.7500 0.7500 0.7500 Sc
0.0000 0.0000 0.0000 Y
0.2500 0.2500 0.2500 Y
```

Output
Energy relative to the lowest polymorph listed for this composition in meV per atom: 705.8
Raw formation energy in eV/atom: 0.211
Magnetization in μB/f.u.: 0.00